Compound: SrEu2Pb
Source: Alexandria
Functional: PBE
Structure: optimized geometry

Output
- Excess energy over the best structure of this formula in the dataset: 0.108 eV/atom
- Formation energy from the elements: -0.208 eV/atom
- Calculated total energy: -6.692 eV/atom

a b c (Å): 8.363 8.363 8.363
angles (deg): 90.00 90.00 90.00
Space group Fm-3m (No. 225)
Asymmetric unit:
Sr1 0.000 0.000 0.000 (multiplicity 4)
Eu1 0.250 0.250 0.250 (multiplicity 8)
Pb1 0.000 0.000 0.500 (multiplicity 4)